1.
GGA-PBE Mn2TcSb, relaxed; calculated volume = 56.1 Å³/f.u.; formation energy (no corrections) = 145.1 kJ/mol of formula units; space group = P4/mmm (123); calculated total energy = -7.83 eV/atom
1.0
4.2667 0.0000 0.0000
0.0000 4.2667 0.0000
0.0000 0.0000 3.0808
Mn Tc Sb
2 1 1
Direct
0.0000 0.5000 0.0000 Mn
0.5000 0.0000 0.0000 Mn
0.0000 0.0000 0.5000 Tc
0.5000 0.5000 0.5000 Sb

=====

2.
GGA-PBE RbLiPmI5, relaxed; calculated volume = 381.0 Å³/f.u.; formation energy (no corrections) = -1058.7 kJ/mol of formula units; space group = C2/c (15); calculated total energy = -3.29 eV/atom
1.0
5.1203 -6.9456 0.0000
5.1203 6.9456 0.0000
-4.5989 0.0000 10.7141
Rb Li Pm I
2 2 2 10
Direct
0.1470 0.8530 0.7500 Rb
0.8530 0.1470 0.2500 Rb
0.1915 0.8085 0.2500 Li
0.8085 0.1915 0.7500 Li
0.5000 0.5000 0.0000 Pm
0.5000 0.5000 0.5000 Pm
0.1213 0.2580 0.9325 I
0.1849 0.5871 0.3887 I
0.2580 0.1213 0.4325 I
0.4129 0.8151 0.1113 I
0.4176 0.5824 0.7500 I
0.5824 0.4176 0.2500 I
0.5871 0.1849 0.8887 I
0.7420 0.8787 0.5675 I
0.8151 0.4129 0.6113 I
0.8787 0.7420 0.0675 I